CaFe3O4 after structural relaxation, computed with GGA+U.

Lattice parameters (Å, degrees): 3.240 5.469 5.469 70.81 89.56 89.56
Last column: magnetic moment on the atom in μB.
Fractional positions:
O1 0.000 0.239 0.261  0.09
O2 0.448 0.239 0.739  0.13
O3 0.552 0.761 0.261  0.13
O4 0.000 0.761 0.739  0.09
Fe1 0.500 0.000 0.500  3.76
Fe2 0.000 0.500 0.500  3.78
Fe3 0.000 0.000 0.000  3.78
Ca1 0.500 0.500 0.000  0.00

Calculated values
* E: -6.58 eV per atom
* space group: C2/m